1.
A plane-wave DFT calculation with PBE was carried out for an optimized crystal structure of Pm2PrSmBi5.

Unit cell a=5.502 b=5.502 c=12.156 alpha=90.00 beta=90.00 gamma=90.00
Space group P4/mmm (No. 123)
Unique sites:
Pm  0.000  0.000  0.229 [2 per cell]
Pr  0.500  0.500  0.500 [1 per cell]
Sm  0.500  0.500  0.000 [1 per cell]
Bi  0.000  0.000  0.500 [1 per cell]
Bi  0.000  0.500  0.000 [2 per cell]
Bi  0.500  0.500  0.252 [2 per cell]

2.
A plane-wave DFT calculation with PBE was carried out for an optimized crystal structure of LaMgGa.

Unit cell a=4.8531 b=4.8531 c=3.8083 alpha=90.00 beta=90.00 gamma=120.00
Space group P3m1 (No. 156)
Unique sites:
La  0.0000  0.0000  0.0000 [1 per cell]
Mg  0.6667  0.3333  0.5006 [1 per cell]
Ga  0.3333  0.6667  0.4989 [1 per cell]

no.,electronic total energy (eV per cell)
1,-39.0
2,-10.7